Computed, not measured: a relaxed structure of Rb2SmF4 at the PBE level of DFT.

Values from the calculation:
* formation energy without anion corrections: -3048.5 meV per atom
* uncorrected energy: -5.068 eV/atom
* density of states at the Fermi level: 2.08 states/eV per cell
* volume: 29.5 Å³ per atom

a = 4.5193 Å, b = 4.5193 Å, c = 20.1972 Å
α = 90.00°, β = 90.00°, γ = 90.00°
Space group I4/mmm (No. 139)
Inequivalent atoms, fractional coordinates:
Rb  0.0000  0.0000  0.1549 x4
Sm  0.0000  0.0000  0.5000 x2
F  0.0000  0.0000  0.3903 x4
F  0.0000  0.5000  0.0000 x4